(1)
A plane-wave DFT calculation with PBE was carried out for crystalline BaPH2W at its relaxed geometry.

## Properties
uncorrected energy: -3.591 eV/atom
space-group type: P4/mmm, No. 123
crystal system: tetragonal

Cell lengths 4.2103, 4.2103, 6.2955 Å; angles 90.00, 90.00, 90.00 degrees
Element x y z (fractional)
Ba: 0.0000 0.0000 0.0000
P: 0.0000 0.0000 0.5000
H: 0.0000 0.5000 0.5000
H: 0.5000 0.0000 0.5000
W: 0.5000 0.5000 0.0000

=====

(2)
A plane-wave DFT calculation with PBE was carried out for crystalline Ba3Zn2P2H4 at its relaxed geometry.

## Properties
uncorrected energy: -3.300 eV/atom
space-group type: I4/mmm, No. 139
crystal system: tetragonal

Cell lengths 12.1391, 12.1391, 12.1391 Å; angles 159.07, 159.07, 29.78 degrees
Element x y z (fractional)
Ba: 0.0000 0.0000 0.0000
Ba: 0.1759 0.1759 0.0000
Ba: 0.8241 0.8241 0.0000
Zn: 0.4100 0.4100 0.0000
Zn: 0.5900 0.5900 0.0000
P: 0.3113 0.3113 0.0000
P: 0.6887 0.6887 0.0000
H: 0.0690 0.5690 0.5000
H: 0.4310 0.9310 0.5000
H: 0.5690 0.0690 0.5000
H: 0.9310 0.4310 0.5000

=====

(3)
A plane-wave DFT calculation with PBE was carried out for crystalline Ba2PaHSe5 at its relaxed geometry.

## Properties
uncorrected energy: -5.241 eV/atom
space-group type: Cmc2_1, No. 36
crystal system: orthorhombic

Cell lengths 9.6261, 9.6261, 13.1002 Å; angles 90.00, 90.00, 153.54 degrees
Element x y z (fractional)
Ba: 0.1096 0.8904 0.5000
Ba: 0.1289 0.8711 0.1334
Ba: 0.8711 0.1289 0.6334
Ba: 0.8904 0.1096 0.0000
Pa: 0.1963 0.8037 0.8314
Pa: 0.8037 0.1963 0.3314
H: 0.4737 0.5263 0.2053
H: 0.5263 0.4737 0.7053
Se: 0.0598 0.9402 0.8726
Se: 0.2875 0.7125 0.4712
Se: 0.3083 0.6917 0.1908
Se: 0.3453 0.6547 0.8208
Se: 0.4981 0.5019 0.5988
Se: 0.5019 0.4981 0.0988
Se: 0.6547 0.3453 0.3208
Se: 0.6917 0.3083 0.6908
Se: 0.7125 0.2875 0.9712
Se: 0.9402 0.0598 0.3726

=====

(4)
A plane-wave DFT calculation with PBE was carried out for crystalline BaHPb2 at its relaxed geometry.

## Properties
uncorrected energy: -3.222 eV/atom
space-group type: I-42d, No. 122
energy relative to the lowest polymorph listed for this composition: 0.0000 eV/atom
crystal system: tetragonal

Cell lengths 7.1213, 7.1213, 7.1213 Å; angles 121.30, 121.30, 87.76 degrees
Element x y z (fractional)
Ba: 0.0000 0.0000 0.0000
Ba: 0.7500 0.2500 0.5000
H: 0.2500 0.7500 0.5000
H: 0.5000 0.5000 0.0000
Pb: 0.3390 0.6250 0.2140
Pb: 0.3750 0.5890 0.7140
Pb: 0.4110 0.1250 0.7860
Pb: 0.8750 0.6610 0.2860

=====

(5)
A plane-wave DFT calculation with PBE was carried out for crystalline Ba2H2Pb at its relaxed geometry.

## Properties
uncorrected energy: -3.305 eV/atom
space-group type: C2/c, No. 15
energy relative to the lowest polymorph listed for this composition: 0.0348 eV/atom
crystal system: monoclinic

Cell lengths 9.3767, 9.3767, 7.4917 Å; angles 101.50, 101.50, 23.04 degrees
Element x y z (fractional)
Ba: 0.1484 0.1488 0.5740
Ba: 0.1488 0.1484 0.0740
Ba: 0.8512 0.8516 0.9260
Ba: 0.8516 0.8512 0.4260
H: 0.2992 0.2997 0.1504
H: 0.2997 0.2992 0.6504
H: 0.7003 0.7008 0.3496
H: 0.7008 0.7003 0.8496
Pb: 0.4987 0.5013 0.7500
Pb: 0.5013 0.4987 0.2500

=====

(6)
A plane-wave DFT calculation with PBE was carried out for crystalline Ba5HPb2 at its relaxed geometry.

## Properties
uncorrected energy: -2.836 eV/atom
space-group type: I4mm, No. 107
crystal system: tetragonal

Cell lengths 7.7265, 7.7265, 7.7265 Å; angles 116.83, 116.83, 95.59 degrees
Element x y z (fractional)
Ba: 0.0000 0.0000 0.0000
Ba: 0.5021 0.5021 0.5100
Ba: 0.5021 0.9921 0.0000
Ba: 0.9921 0.5021 0.0000
Ba: 0.9921 0.9921 0.4900
H: 0.7537 0.7537 0.0000
Pb: 0.4957 0.9957 0.5000
Pb: 0.9957 0.4957 0.5000

=====

(7)
A plane-wave DFT calculation with PBE was carried out for crystalline Ba6H2Pb3 at its relaxed geometry.

## Properties
uncorrected energy: -3.151 eV/atom
space-group type: I4/mmm, No. 139
crystal system: tetragonal

Cell lengths 14.2118, 14.2118, 14.2118 Å; angles 157.16, 157.16, 32.52 degrees
Element x y z (fractional)
Ba: 0.0830 0.5830 0.5000
Ba: 0.2040 0.2040 0.0000
Ba: 0.4170 0.9170 0.5000
Ba: 0.5830 0.0830 0.5000
Ba: 0.7960 0.7960 0.0000
Ba: 0.9170 0.4170 0.5000
H: 0.1014 0.1014 0.0000
H: 0.8986 0.8986 0.0000
Pb: 0.3340 0.3340 0.0000
Pb: 0.5000 0.5000 0.0000
Pb: 0.6660 0.6660 0.0000

=====

(8)
A plane-wave DFT calculation with PBE was carried out for crystalline Ba3HPb at its relaxed geometry.

## Properties
uncorrected energy: -2.922 eV/atom
space-group type: P2_1/m, No. 11
energy relative to the lowest polymorph listed for this composition: 0.0240 eV/atom
crystal system: monoclinic

Cell lengths 5.8763, 8.1177, 9.3069 Å; angles 90.00, 108.49, 90.00 degrees
Element x y z (fractional)
Ba: 0.0505 0.2500 0.1013
Ba: 0.3280 0.0095 0.6551
Ba: 0.3280 0.4905 0.6551
Ba: 0.6720 0.5095 0.3449
Ba: 0.6720 0.9905 0.3449
Ba: 0.9495 0.7500 0.8987
H: 0.4193 0.7500 0.8307
H: 0.5807 0.2500 0.1693
Pb: 0.1446 0.7500 0.2902
Pb: 0.8554 0.2500 0.7098

=====

(9)
A plane-wave DFT calculation with PBE was carried out for crystalline BaHPb2 at its relaxed geometry.

## Properties
uncorrected energy: -2.770 eV/atom
space-group type: Fm-3m, No. 225
energy relative to the lowest polymorph listed for this composition: 0.4523 eV/atom
crystal system: cubic

Cell lengths 5.5862, 5.5862, 5.5862 Å; angles 60.00, 60.00, 60.00 degrees
Element x y z (fractional)
Ba: 0.0000 0.0000 0.0000
H: 0.5000 0.5000 0.5000
Pb: 0.2500 0.2500 0.2500
Pb: 0.7500 0.7500 0.7500

=====

(10)
A plane-wave DFT calculation with PBE was carried out for crystalline Ba4HPb2 at its relaxed geometry.

## Properties
uncorrected energy: -3.111 eV/atom
space-group type: P2_1/m, No. 11
energy relative to the lowest polymorph listed for this composition: 0.0129 eV/atom
crystal system: monoclinic

Cell lengths 7.1157, 7.9847, 10.3837 Å; angles 90.00, 106.70, 90.00 degrees
Element x y z (fractional)
Ba: 0.1757 0.2500 0.0663
Ba: 0.2588 0.5016 0.7311
Ba: 0.2588 0.9984 0.7311
Ba: 0.2783 0.7500 0.3671
Ba: 0.7217 0.2500 0.6329
Ba: 0.7412 0.0016 0.2689
Ba: 0.7412 0.4984 0.2689
Ba: 0.8243 0.7500 0.9337
H: 0.0808 0.2500 0.7971
H: 0.9192 0.7500 0.2029
Pb: 0.2067 0.2500 0.4214
Pb: 0.3606 0.7500 0.0376
Pb: 0.6394 0.2500 0.9624
Pb: 0.7933 0.7500 0.5786

=====

(11)
A plane-wave DFT calculation with PBE was carried out for crystalline Ba3HPb at its relaxed geometry.

## Properties
uncorrected energy: -2.946 eV/atom
space-group type: Pm-3m, No. 221
energy relative to the lowest polymorph listed for this composition: 0.0000 eV/atom
crystal system: cubic

Cell lengths 5.6142, 5.6142, 5.6142 Å; angles 90.00, 90.00, 90.00 degrees
Element x y z (fractional)
Ba: 0.0000 0.0000 0.5000
Ba: 0.0000 0.5000 0.0000
Ba: 0.5000 0.0000 0.0000
H: 0.0000 0.0000 0.0000
Pb: 0.5000 0.5000 0.5000

=====

(12)
A plane-wave DFT calculation with PBE was carried out for crystalline Ba2H2Pb at its relaxed geometry.

## Properties
uncorrected energy: -3.340 eV/atom
space-group type: I4/mmm, No. 139
energy relative to the lowest polymorph listed for this composition: 0.0000 eV/atom
crystal system: tetragonal

Cell lengths 8.5894, 8.5894, 8.5894 Å; angles 151.67, 151.67, 40.50 degrees
Element x y z (fractional)
Ba: 0.1523 0.1523 0.0000
Ba: 0.8477 0.8477 0.0000
H: 0.2500 0.7500 0.5000
H: 0.7500 0.2500 0.5000
Pb: 0.5000 0.5000 0.0000